Entry 1:
SrLiHgAu: optimized geometry, PBE-GGA.

Summary:
Calculated volume, A^3/atom: 25.66
Symmetry: Cm
DFT total energy, eV per formula unit: -9.35
Total magnetic moment, μB/cell: 0.00
Formation energy, eV/atom: -0.544
Energy relative to the lowest polymorph listed for this composition, meV per atom: 0

```
data_SrLiHgAu
_chemical_formula_sum 'Sr2 Li2 Hg2 Au2'
_cell_length_a 8.2184
_cell_length_b 4.7390
_cell_length_c 5.9307
_cell_angle_alpha 90.00
_cell_angle_beta 117.27
_cell_angle_gamma 90.00
_space_group_name_H-M_alt 'P 1'
_space_group_IT_number 1
loop_
_space_group_symop_operation_xyz
'x,y,z'
loop_
_atom_site_label
_atom_site_fract_x
_atom_site_fract_y
_atom_site_fract_z
Sr1 0.0000 0.0000 0.0000
Sr2 0.5000 0.5000 0.0000
Li1 0.0123 0.5000 0.5371
Li2 0.5123 0.0000 0.5371
Hg1 0.2916 0.5000 0.3749
Hg2 0.7916 0.0000 0.3749
Au1 0.2082 0.0000 0.6248
Au2 0.7082 0.5000 0.6248
```

=====

Entry 2:
Sr2Li3HgAu4: optimized geometry, PBE-GGA.

Summary:
Calculated volume, A^3/atom: 22.70
Symmetry: P-4m2
DFT total energy, eV per formula unit: -28.21
Total magnetic moment, μB/cell: 0.00
Formation energy, eV/atom: -0.569

```
data_Sr2Li3HgAu4
_chemical_formula_sum 'Sr2 Li3 Hg1 Au4'
_cell_length_a 4.5114
_cell_length_b 4.5114
_cell_length_c 11.1556
_cell_angle_alpha 90.00
_cell_angle_beta 90.00
_cell_angle_gamma 90.00
_space_group_name_H-M_alt 'P 1'
_space_group_IT_number 1
loop_
_space_group_symop_operation_xyz
'x,y,z'
loop_
_atom_site_label
_atom_site_fract_x
_atom_site_fract_y
_atom_site_fract_z
Sr1 0.0000 0.5000 0.2357
Sr2 0.5000 0.0000 0.7643
Li1 0.0000 0.5000 0.8900
Li2 0.5000 0.0000 0.1100
Li3 0.5000 0.5000 0.5000
Hg1 0.0000 0.0000 0.5000
Au1 0.0000 0.0000 0.0000
Au2 0.0000 0.5000 0.6599
Au3 0.5000 0.0000 0.3401
Au4 0.5000 0.5000 0.0000
```

=====

Entry 3:
SrLi2Hg2Au2: optimized geometry, PBE-GGA.

Summary:
Calculated volume, A^3/atom: 22.49
Symmetry: R-3m
DFT total energy, eV per formula unit: -15.68
Total magnetic moment, μB/cell: 0.00
Formation energy, eV/atom: -0.431

```
data_SrLi2Hg2Au2
_chemical_formula_sum 'Sr1 Li2 Hg2 Au2'
_cell_length_a 8.3767
_cell_length_b 8.3767
_cell_length_c 8.3767
_cell_angle_alpha 33.26
_cell_angle_beta 33.26
_cell_angle_gamma 33.26
_space_group_name_H-M_alt 'P 1'
_space_group_IT_number 1
loop_
_space_group_symop_operation_xyz
'x,y,z'
loop_
_atom_site_label
_atom_site_fract_x
_atom_site_fract_y
_atom_site_fract_z
Sr1 0.0000 0.0000 0.0000
Li1 0.1382 0.1382 0.1382
Li2 0.8618 0.8618 0.8618
Hg1 0.2522 0.2522 0.2522
Hg2 0.7478 0.7478 0.7478
Au1 0.4387 0.4387 0.4387
Au2 0.5613 0.5613 0.5613
```

=====

Which formula does entry 1 have? SrLiHgAu